# 1
Here is crystalline Fe2NiI6Br2 at its relaxed geometry from Alexandria via LeMat-Bulk. Energies are from GGA-PBE.

Lattice parameters (Å, degrees): 7.0797 7.0797 9.9344 90.00 90.00 120.00
Positions (direct):
Fe: 0.3333 0.6667 0.7554
Fe: 0.6667 0.3333 0.2446
Ni: 0.0000 0.0000 0.0000
I: 0.3108 0.3109 0.8370
I: 0.0001 0.6892 0.8370
I: 0.6891 0.9999 0.8370
I: 0.6892 0.6891 0.1630
I: 0.9999 0.3108 0.1630
I: 0.3109 0.0001 0.1630
Br: 0.3333 0.6667 0.5250
Br: 0.6667 0.3333 0.4750

## Properties
* volume: 39.20 A^3/atom
* formation energy from raw total energies: -0.19 eV/atom
* electronic total energy: -3.41 eV/atom

***

# 2
Here is crystalline CeGa9Co3 at its relaxed geometry from Alexandria via LeMat-Bulk. Energies are from GGA-PBE.

Lattice parameters (Å, degrees): 5.1654 6.6259 6.7739 82.05 67.59 68.73
Positions (direct):
Ce: 0.0000 0.0000 0.0000
Ga: 0.7044 0.7892 0.7754
Ga: 0.2956 0.2108 0.2246
Ga: 0.5202 0.2108 0.7754
Ga: 0.4798 0.7892 0.2246
Ga: 0.6458 0.3332 0.3607
Ga: 0.3542 0.6668 0.6393
Ga: 0.9935 0.6668 0.3607
Ga: 0.0065 0.3332 0.6393
Ga: 0.0000 0.5000 0.0000
Co: 0.5000 0.5000 0.0000
Co: 0.0000 0.0000 0.5000
Co: 0.5000 0.0000 0.5000

## Properties
* DFT formation energy: -283 meV per atom
* volume: 15.36 A^3/atom
* electronic total energy: -4.48 eV/atom

***

# 3
Here is crystalline Fe4Sb5 at its relaxed geometry from Alexandria via LeMat-Bulk. Energies are from GGA-PBE.

Lattice parameters (Å, degrees): 6.6153 6.6153 6.6153 97.49 97.49 137.67
Positions (direct):
Fe: 0.3703 0.0000 0.3703
Fe: 0.6297 0.0000 0.6297
Fe: 0.0000 0.6297 0.6297
Fe: 0.0000 0.3703 0.3703
Sb: 0.0000 0.0000 0.0000
Sb: 0.3188 0.6812 0.0000
Sb: 0.6812 0.3188 0.0000
Sb: 0.6812 0.6812 0.3624
Sb: 0.3188 0.3188 0.6376

## Properties
* volume: 20.20 A^3/atom
* formation energy from raw total energies: 0.47 eV/atom
* electronic total energy: -5.59 eV/atom

***

# 4
Here is crystalline Na4Tl3Pb4 at its relaxed geometry from Alexandria via LeMat-Bulk. Energies are from GGA-PBE.

Lattice parameters (Å, degrees): 4.6879 7.7050 9.9669 90.00 90.00 107.71
Positions (direct):
Na: 0.7512 0.5023 0.7406
Na: 0.7512 0.5023 0.2594
Na: 0.9252 0.8503 0.5000
Na: 0.9217 0.8435 0.0000
Tl: 0.4250 0.8501 0.2629
Tl: 0.4250 0.8501 0.7371
Tl: 0.2480 0.4961 0.0000
Pb: 0.5931 0.1861 0.5000
Pb: 0.5882 0.1765 0.0000
Pb: 0.0850 0.1699 0.7464
Pb: 0.0850 0.1699 0.2536

## Properties
* DFT formation energy: -86 meV per atom
* volume: 31.18 A^3/atom
* electronic total energy: -2.56 eV/atom

***

# 5
Here is crystalline ZrMo2Ru at its relaxed geometry from Alexandria via LeMat-Bulk. Energies are from GGA-PBE.

Lattice parameters (Å, degrees): 2.8527 2.8527 8.8406 90.00 90.00 111.51
Positions (direct):
Mo: 0.0000 0.0000 0.0144
Mo: 0.5000 0.5000 0.2520
Ru: 0.0000 0.0000 0.4902
Zr: 0.5000 0.5000 0.7433

## Properties
* DFT formation energy: 63 meV per atom
* volume: 16.73 A^3/atom
* electronic total energy: -9.81 eV/atom

***

# 6
Here is crystalline AcHf2Pa at its relaxed geometry from Alexandria via LeMat-Bulk. Energies are from GGA-PBE.

Lattice parameters (Å, degrees): 3.3272 3.3272 11.9078 81.97 81.97 60.00
Positions (direct):
Ac: 0.0000 0.0000 0.0000
Pa: 0.5000 0.5000 0.5000
Hf: 0.0939 0.0939 0.7184
Hf: 0.9061 0.9061 0.2816

## Properties
* DFT formation energy: 462 meV per atom
* volume: 28.17 A^3/atom
* electronic total energy: -7.92 eV/atom

***

# 7
Here is crystalline Pr2IrO at its relaxed geometry from Alexandria via LeMat-Bulk. Energies are from GGA-PBE.

Lattice parameters (Å, degrees): 4.3354 4.3354 7.8301 73.93 73.93 60.00
Positions (direct):
Pr: 0.0968 0.0968 0.7097
Pr: 0.9032 0.9032 0.2903
Ir: 0.5000 0.5000 0.5000
O: 0.0000 0.0000 0.0000

## Properties
* volume: 30.19 A^3/atom
* formation energy from raw total energies: -1.27 eV/atom
* electronic total energy: -7.11 eV/atom

***

# 8
Here is crystalline La2AlBr at its relaxed geometry from Alexandria via LeMat-Bulk. Energies are from GGA-PBE.

Lattice parameters (Å, degrees): 6.3092 6.3092 9.2162 69.98 69.98 90.00
Positions (direct):
Al: 0.5000 0.5000 0.0000
Al: 0.2500 0.7500 0.5000
Br: 0.0000 0.0000 0.0000
Br: 0.7500 0.2500 0.5000
La: 0.6218 0.1250 0.2500
La: 0.1282 0.6250 0.2500
La: 0.3750 0.3782 0.7500
La: 0.8750 0.8718 0.7500

## Properties
* volume: 40.13 A^3/atom
* formation energy from raw total energies: -0.30 eV/atom
* electronic total energy: -4.11 eV/atom

***

# 9
Here is crystalline PuAg2SbTe4 at its relaxed geometry from Alexandria via LeMat-Bulk. Energies are from GGA-PBE.

Lattice parameters (Å, degrees): 4.4540 7.6809 7.3085 110.85 90.00 90.00
Positions (direct):
Pu: 0.5000 0.5000 0.0000
Ag: 0.5000 0.0000 0.5000
Ag: 0.0000 0.5000 0.5000
Sb: 0.0000 0.0000 0.0000
Te: 0.5000 0.2507 0.2622
Te: 0.5000 0.7493 0.7378
Te: 0.0000 0.2444 0.7413
Te: 0.0000 0.7556 0.2587

## Properties
* volume: 29.21 A^3/atom
* formation energy from raw total energies: -0.32 eV/atom
* electronic total energy: -4.91 eV/atom